Ca4FeSi | PBE | relaxed

Properties
SG ... F-43m, No. 216
Formation energy without anion corrections ... 872 meV per atom

Unit cell a=6.3256 b=6.3256 c=6.3256 alpha=60.00 beta=60.00 gamma=60.00
Closest atoms and distances in Å follow each position.
Fractional coordinates of all 6 atoms:
Ca1 0.1249 0.1249 0.1249  6 Ca 3.16-3.17
Ca2 0.1249 0.1249 0.6253  6 Ca 3.16-3.17
Ca3 0.1249 0.6253 0.1249  6 Ca 3.16-3.17
Ca4 0.6253 0.1249 0.1249  6 Ca 3.16-3.17
Fe1 0.7500 0.7500 0.7500  12 Ca 3.71, 4 Si 3.87
Si1 0.5000 0.5000 0.5000  12 Ca 3.71, 4 Fe 3.87

Ca2FeSi | PBE | relaxed

Properties
SG ... R-3m, No. 166
Formation energy without anion corrections ... 441 meV per atom

Unit cell a=9.4938 b=9.4938 c=9.4938 alpha=20.85 beta=20.85 gamma=20.85
Closest atoms and distances in Å follow each position.
Fractional coordinates of all 4 atoms:
Ca1 0.2482 0.2482 0.2482  3 Si 3.01, 3 Fe 3.09
Ca2 0.7518 0.7518 0.7518  3 Si 3.01, 3 Fe 3.09
Fe1 0.0000 0.0000 0.0000  6 Ca 3.09, 6 Fe 3.44
Si1 0.5000 0.5000 0.5000  6 Ca 3.01

CaFe2Si | PBE | relaxed

Properties
SG ... F-43m, No. 216
Formation energy without anion corrections ... 287 meV per atom

Unit cell a=4.4445 b=4.4445 c=4.4445 alpha=60.00 beta=60.00 gamma=60.00
Closest atoms and distances in Å follow each position.
Fractional coordinates of all 4 atoms:
Ca1 0.0000 0.0000 0.0000  4 Fe 2.72, 4 Si 2.72
Fe1 0.5000 0.5000 0.5000  4 Fe 2.72, 4 Si 2.72
Fe2 0.7500 0.7500 0.7500  4 Fe 2.72, 4 Ca 2.72
Si1 0.2500 0.2500 0.2500  4 Fe 2.72, 4 Ca 2.72

CaFeSi2 | PBE | relaxed

Properties
SG ... Cmmm, No. 65
Formation energy without anion corrections ... 223 meV per atom

Unit cell a=5.0597 b=5.0597 c=2.7761 alpha=90.00 beta=90.00 gamma=112.70
Closest atoms and distances in Å follow each position.
Fractional coordinates of all 4 atoms:
Ca1 0.0000 0.0000 0.0000  2 Ca 2.78, 2 Fe 2.80, 8 Si 2.89
Fe1 0.5000 0.5000 0.0000  2 Fe 2.78, 2 Ca 2.80, 8 Si 2.89
Si1 0.0000 0.5000 0.5000  4 Si 2.78-2.80, 4 Fe 2.89, 4 Ca 2.89
Si2 0.5000 0.0000 0.5000  4 Si 2.78-2.80, 4 Fe 2.89, 4 Ca 2.89

CaFeSi3 | PBE | relaxed

Properties
SG ... Pm-3m, No. 221
Formation energy without anion corrections ... 2224 meV per atom

Unit cell a=5.0833 b=5.0833 c=5.0833 alpha=90.00 beta=90.00 gamma=90.00
Closest atoms and distances in Å follow each position.
Fractional coordinates of all 5 atoms:
Ca1 0.0000 0.0000 0.0000  6 Si 2.54
Fe1 0.5000 0.5000 0.5000  12 Si 3.59
Si1 0.0000 0.0000 0.5000  2 Ca 2.54
Si2 0.0000 0.5000 0.0000  2 Ca 2.54
Si3 0.5000 0.0000 0.0000  2 Ca 2.54

CaFe2Si | PBE | relaxed

Properties
SG ... I-42d, No. 122
Formation energy without anion corrections ... 331 meV per atom

Unit cell a=8.5560 b=8.5560 c=8.5560 alpha=150.46 beta=150.46 gamma=42.27
Closest atoms and distances in Å follow each position.
Fractional coordinates of all 8 atoms:
Ca1 0.0000 0.0000 0.0000  4 Si 3.08, 8 Fe 3.09-3.21
Ca2 0.7500 0.2500 0.5000  4 Si 3.08, 8 Fe 3.09-3.21
Fe1 0.3552 0.6250 0.2302  2 Fe 2.19, 2 Si 2.28
Fe2 0.3750 0.6052 0.7302  2 Fe 2.19, 2 Si 2.28
Fe3 0.3948 0.1250 0.7698  2 Fe 2.19, 2 Si 2.28
Fe4 0.8750 0.6448 0.2698  2 Fe 2.19, 2 Si 2.28
Si1 0.2500 0.7500 0.5000  4 Fe 2.28
Si2 0.5000 0.5000 0.0000  4 Fe 2.28

CaTa2FeSi | PBE | relaxed

Properties
SG ... P4/mmm, No. 123
Formation energy without anion corrections ... 540 meV per atom

Unit cell a=4.7132 b=4.7132 c=4.4119 alpha=90.00 beta=90.00 gamma=90.00
Closest atoms and distances in Å follow each position.
Fractional coordinates of all 5 atoms:
Ca1 0.0000 0.0000 0.0000  8 Ta 3.23, 4 Si 3.33
Ta1 0.0000 0.5000 0.5000  2 Fe 2.36
Ta2 0.5000 0.0000 0.5000  2 Fe 2.36
Fe1 0.5000 0.5000 0.5000  2 Si 2.21, 4 Ta 2.36
Si1 0.5000 0.5000 0.0000  2 Fe 2.21

CaTlFe2Si | PBE | relaxed

Properties
SG ... P4/mmm, No. 123
Formation energy without anion corrections ... 432 meV per atom

Unit cell a=4.5236 b=4.5236 c=5.2783 alpha=90.00 beta=90.00 gamma=90.00
Closest atoms and distances in Å follow each position.
Fractional coordinates of all 5 atoms:
Ca1 0.0000 0.0000 0.0000  4 Tl 3.20, 8 Fe 3.48
Tl1 0.5000 0.5000 0.0000  2 Si 2.64
Fe1 0.0000 0.5000 0.5000  2 Si 2.26
Fe2 0.5000 0.0000 0.5000  2 Si 2.26
Si1 0.5000 0.5000 0.5000  4 Fe 2.26

CaFeSi2W | PBE | relaxed

Properties
SG ... P4/mmm, No. 123
Formation energy without anion corrections ... 981 meV per atom

Unit cell a=4.3940 b=4.3940 c=4.8308 alpha=90.00 beta=90.00 gamma=90.00
Closest atoms and distances in Å follow each position.
Fractional coordinates of all 5 atoms:
Ca1 0.0000 0.0000 0.0000  2 Fe 2.42
Fe1 0.0000 0.0000 0.5000  4 Si 2.20, 2 Ca 2.42
Si1 0.0000 0.5000 0.5000  2 Fe 2.20
Si2 0.5000 0.0000 0.5000  2 Fe 2.20
W1 0.5000 0.5000 0.0000  4 Ca 3.11, 8 Si 3.27

CaSm2Fe | PBE | relaxed

Properties
SG ... P4/mmm, No. 123
Relative energy among the computed polymorphs ... 0 meV per atom
Formation enthalpy at 0 K ... 48.0 kJ/mol of formula units

Unit cell a=3.5225 b=3.5225 c=9.3774 alpha=90.00 beta=90.00 gamma=90.00
Closest atoms and distances in Å follow each position.
Fractional coordinates of all 4 atoms:
Ca1 0.0000 0.0000 0.0000  4 Ca 3.52, 8 Sm 3.93
Sm1 0.5000 0.5000 0.3247  4 Fe 2.98, 1 Sm 3.29
Sm2 0.5000 0.5000 0.6753  4 Fe 2.98, 1 Sm 3.29
Fe1 0.0000 0.0000 0.5000  8 Sm 2.98

CaSm2Fe | PBE | relaxed

Properties
SG ... R-3m, No. 166
Relative energy among the computed polymorphs ... 184 meV per atom
Formation enthalpy at 0 K ... 118.8 kJ/mol of formula units

Unit cell a=10.8582 b=10.8582 c=10.8582 alpha=19.77 beta=19.77 gamma=19.77
Closest atoms and distances in Å follow each position.
Fractional coordinates of all 4 atoms:
Ca1 0.0000 0.0000 0.0000  2 Sm 3.63, 6 Ca 3.73
Sm1 0.1138 0.1138 0.1138  3 Fe 2.73
Sm2 0.8862 0.8862 0.8862  3 Fe 2.73
Fe1 0.5000 0.5000 0.5000  6 Sm 2.73

CaSm3Fe | PBE | relaxed

Properties
SG ... Pm-3m, No. 221
Formation enthalpy at 0 K ... 45.7 kJ/mol of formula units

Unit cell a=5.4144 b=5.4144 c=5.4144 alpha=90.00 beta=90.00 gamma=90.00
Closest atoms and distances in Å follow each position.
Fractional coordinates of all 5 atoms:
Ca1 0.0000 0.0000 0.0000  12 Sm 3.83
Sm1 0.0000 0.5000 0.5000  2 Fe 2.71
Sm2 0.5000 0.0000 0.5000  2 Fe 2.71
Sm3 0.5000 0.5000 0.0000  2 Fe 2.71
Fe1 0.5000 0.5000 0.5000  6 Sm 2.71

Ca2FeSn2 | PBE | relaxed

Properties
SG ... P4/mbm, No. 127
Formation enthalpy at 0 K ... -123.7 kJ/mol of formula units

Unit cell a=7.1939 b=7.1939 c=4.9545 alpha=90.00 beta=90.00 gamma=90.00
Closest atoms and distances in Å follow each position.
Fractional coordinates of all 10 atoms:
Ca1 0.1667 0.3333 0.0000  6 Sn 3.11-3.36, 1 Ca 3.39
Ca2 0.3333 0.8333 0.0000  6 Sn 3.11-3.36, 1 Ca 3.39
Ca3 0.6667 0.1667 0.0000  6 Sn 3.11-3.36, 1 Ca 3.39
Ca4 0.8333 0.6667 0.0000  6 Sn 3.11-3.36, 1 Ca 3.39
Fe1 0.0000 0.0000 0.5000  4 Sn 2.75
Fe2 0.5000 0.5000 0.5000  4 Sn 2.75
Sn1 0.1482 0.6482 0.5000  2 Fe 2.75, 1 Sn 3.02
Sn2 0.3518 0.1482 0.5000  2 Fe 2.75, 1 Sn 3.02
Sn3 0.6482 0.8518 0.5000  2 Fe 2.75, 1 Sn 3.02
Sn4 0.8518 0.3518 0.5000  2 Fe 2.75, 1 Sn 3.02

Ca3FeSn | PBE | relaxed

Properties
SG ... Pm-3m, No. 221
Formation enthalpy at 0 K ... 236.6 kJ/mol of formula units

Unit cell a=5.9223 b=5.9223 c=5.9223 alpha=90.00 beta=90.00 gamma=90.00
Closest atoms and distances in Å follow each position.
Fractional coordinates of all 5 atoms:
Ca1 0.0000 0.0000 0.5000  2 Sn 2.96
Ca2 0.0000 0.5000 0.0000  2 Sn 2.96
Ca3 0.5000 0.0000 0.0000  2 Sn 2.96
Fe1 0.5000 0.5000 0.5000  12 Ca 4.19
Sn1 0.0000 0.0000 0.0000  6 Ca 2.96

CaFeSn2 | PBE | relaxed

Properties
SG ... R-3m, No. 166
Formation enthalpy at 0 K ... -61.1 kJ/mol of formula units

Unit cell a=6.3580 b=6.3580 c=6.3580 alpha=40.20 beta=40.20 gamma=40.20
Closest atoms and distances in Å follow each position.
Fractional coordinates of all 4 atoms:
Ca1 0.0000 0.0000 0.0000  6 Sn 3.20
Fe1 0.5000 0.5000 0.5000  6 Sn 2.69
Sn1 0.2206 0.2206 0.2206  3 Fe 2.69
Sn2 0.7794 0.7794 0.7794  3 Fe 2.69

CaFe2Sn7 | PBE | relaxed

Properties
SG ... Cmmm, No. 65
Formation enthalpy at 0 K ... 76.6 kJ/mol of formula units

Unit cell a=7.6965 b=7.6965 c=4.8754 alpha=90.00 beta=90.00 gamma=110.28
Closest atoms and distances in Å follow each position.
Fractional coordinates of all 10 atoms:
Ca1 0.0000 0.0000 0.0000  10 Sn 3.47-3.61
Fe1 0.3031 0.6969 0.5000  3 Sn 2.45-2.49
Fe2 0.6969 0.3031 0.5000  3 Sn 2.45-2.49
Sn1 0.0644 0.3371 0.5000  2 Fe 2.74-2.75, 1 Sn 3.00
Sn2 0.2859 0.7141 0.0000  2 Fe 2.45
Sn3 0.3371 0.0644 0.5000  2 Fe 2.74-2.75, 1 Sn 3.00
Sn4 0.5000 0.5000 0.5000  2 Fe 2.49
Sn5 0.6629 0.9356 0.5000  2 Fe 2.74-2.75, 1 Sn 3.00
Sn6 0.7141 0.2859 0.0000  2 Fe 2.45
Sn7 0.9356 0.6629 0.5000  2 Fe 2.74-2.75, 1 Sn 3.00

CaFe3Sn | PBE | relaxed

Properties
SG ... Pm-3m, No. 221
Relative energy among the computed polymorphs ... 0 meV per atom
Formation enthalpy at 0 K ... 457.4 kJ/mol of formula units

Unit cell a=4.7635 b=4.7635 c=4.7635 alpha=90.00 beta=90.00 gamma=90.00
Closest atoms and distances in Å follow each position.
Fractional coordinates of all 5 atoms:
Ca1 0.0000 0.0000 0.0000  12 Fe 3.37
Fe1 0.0000 0.5000 0.5000  2 Sn 2.38
Fe2 0.5000 0.0000 0.5000  2 Sn 2.38
Fe3 0.5000 0.5000 0.0000  2 Sn 2.38
Sn1 0.5000 0.5000 0.5000  6 Fe 2.38

CaFe3Sn | PBE | relaxed

Properties
SG ... Pm-3m, No. 221
Relative energy among the computed polymorphs ... 745 meV per atom
Formation enthalpy at 0 K ... 816.9 kJ/mol of formula units

Unit cell a=4.6004 b=4.6004 c=4.6004 alpha=90.00 beta=90.00 gamma=90.00
Closest atoms and distances in Å follow each position.
Fractional coordinates of all 5 atoms:
Ca1 0.0000 0.0000 0.0000  6 Fe 2.30
Fe1 0.0000 0.0000 0.5000  2 Ca 2.30
Fe2 0.0000 0.5000 0.0000  2 Ca 2.30
Fe3 0.5000 0.0000 0.0000  2 Ca 2.30
Sn1 0.5000 0.5000 0.5000  12 Fe 3.25

CaFe2Sn | PBE | relaxed

Properties
SG ... I-42d, No. 122
Formation enthalpy at 0 K ... 242.1 kJ/mol of formula units

Unit cell a=6.0602 b=6.0602 c=6.0602 alpha=103.13 beta=103.13 gamma=123.08
Closest atoms and distances in Å follow each position.
Fractional coordinates of all 8 atoms:
Ca1 0.0000 0.0000 0.0000  2 Sn 2.89, 4 Fe 2.92
Ca2 0.7500 0.2500 0.5000  2 Sn 2.89, 4 Fe 2.92
Fe1 0.1561 0.6250 0.0311  2 Sn 2.61
Fe2 0.3750 0.4061 0.5311  2 Sn 2.61
Fe3 0.5939 0.1250 0.9689  2 Sn 2.61
Fe4 0.8750 0.8439 0.4689  2 Sn 2.61
Sn1 0.2500 0.7500 0.5000  4 Fe 2.61, 2 Ca 2.89
Sn2 0.5000 0.5000 0.0000  4 Fe 2.61, 2 Ca 2.89

Ca2FeSnTe | PBE | relaxed

Properties
SG ... P4/mmm, No. 123
Formation energy without anion corrections ... 488 meV per atom

Unit cell a=5.7830 b=5.7830 c=5.8964 alpha=90.00 beta=90.00 gamma=90.00
Closest atoms and distances in Å follow each position.
Fractional coordinates of all 5 atoms:
Ca1 0.0000 0.5000 0.0000  2 Te 2.89
Ca2 0.5000 0.0000 0.0000  2 Te 2.89
Fe1 0.0000 0.0000 0.5000  4 Sn 4.09, 8 Ca 4.13
Sn1 0.5000 0.5000 0.5000  2 Te 2.95
Te1 0.5000 0.5000 0.0000  4 Ca 2.89, 2 Sn 2.95